An optimized crystal structure of Hg5SbS2. Source: the Alexandria database, functional PBE-GGA.

Output
Total DFT energy (no corrections) (eV per atom): -1.68
Symmetry: Cm (8)
N(E_F) (states/eV/f.u.): 2.3

Cell and atoms, written as POSCAR:
```
Hg5SbS2
1.0
6.6360 -0.2639 -3.7478
-1.6596 6.4305 -3.7478
-1.1104 -1.3759 7.2759
S Hg Sb
2 5 1
Cartesian
4.1273 0.4040 0.0785
-0.4768 4.1195 0.0784
1.2147 1.5052 1.7864
2.2122 2.7413 -2.5048
4.2858 5.3108 -4.3320
-0.8322 4.4092 2.7652
4.4853 0.1179 2.7653
3.2041 3.9704 -0.0640
```